P | Computed, not measured: crystalline La6Tb2Tm at its relaxed geometry at the PBE level of DFT.

Unit cell a=10.1356 b=10.1356 c=3.6970 alpha=90.00 beta=90.00 gamma=124.06
Positions (direct):
La: 0.0058 0.3372 0.0000
La: 0.1803 0.1803 0.5000
La: 0.3372 0.0058 0.0000
La: 0.6628 0.9942 0.0000
La: 0.8197 0.8197 0.5000
La: 0.9942 0.6628 0.0000
Tb: 0.3293 0.6707 0.5000
Tb: 0.6707 0.3293 0.5000
Tm: 0.5000 0.5000 0.0000

Volume: 314.64 Å³/f.u.

Q | Computed, not measured: crystalline La6Tb2Tm at its relaxed geometry at the PBE level of DFT.

Unit cell a=3.6560 b=3.6560 c=27.5658 alpha=90.00 beta=90.00 gamma=120.00
Positions (direct):
La: 0.0000 0.0000 0.0656
La: 0.0000 0.0000 0.2784
La: 0.0000 0.0000 0.7216
La: 0.0000 0.0000 0.9344
La: 0.3333 0.6667 0.3954
La: 0.3333 0.6667 0.6046
Tb: 0.3333 0.6667 0.1708
Tb: 0.3333 0.6667 0.8292
Tm: 0.0000 0.0000 0.5000

Volume: 319.09 Å³/f.u.

Computed stability ranking, most favorable first: Q, P

P | Computed, not measured: crystalline La3TbTm2 at its relaxed geometry at the PBE level of DFT.

Unit cell a=10.4495 b=10.4495 c=10.4495 alpha=160.82 beta=146.67 gamma=38.73
Positions (direct):
La: 0.0000 0.0000 0.0000
La: 0.3124 0.8124 0.5000
La: 0.6876 0.1876 0.5000
Tb: 0.5000 0.0000 0.5000
Tm: 0.1374 0.6374 0.5000
Tm: 0.8626 0.3626 0.5000

Volume: 205.67 Å³/f.u.

Q | Computed, not measured: crystalline La3TbTm2 at its relaxed geometry at the PBE level of DFT.

Unit cell a=10.4299 b=10.4299 c=14.8909 alpha=131.28 beta=131.28 gamma=20.01
Positions (direct):
La: 0.0705 0.0705 0.3986
La: 0.1466 0.1466 0.8964
La: 0.3883 0.3883 0.3502
La: 0.6117 0.6117 0.6498
La: 0.8534 0.8534 0.1036
La: 0.9295 0.9295 0.6014
Tb: 0.4729 0.4729 0.8542
Tb: 0.5271 0.5271 0.1458
Tm: 0.2257 0.2257 0.3743
Tm: 0.3076 0.3076 0.8576
Tm: 0.6924 0.6924 0.1424
Tm: 0.7743 0.7743 0.6257

Volume: 205.76 Å³/f.u.

Computed stability ranking, most favorable first: Q, P

P | Computed, not measured: crystalline LaTb6Tm at its relaxed geometry at the PBE level of DFT.

Unit cell a=5.8464 b=5.8464 c=9.0468 alpha=101.07 beta=101.07 gamma=73.06
Positions (direct):
La: 0.0000 0.0000 0.0000
Tb: 0.0443 0.5245 0.6998
Tb: 0.3744 0.3744 0.0778
Tb: 0.4755 0.9557 0.3002
Tb: 0.5245 0.0443 0.6998
Tb: 0.6256 0.6256 0.9222
Tb: 0.9557 0.4755 0.3002
Tm: 0.5000 0.5000 0.5000

Volume: 287.24 Å³/f.u.

Q | Computed, not measured: crystalline LaTb6Tm at its relaxed geometry at the PBE level of DFT.

Unit cell a=5.0629 b=5.0629 c=10.1120 alpha=90.00 beta=90.00 gamma=90.00
Positions (direct):
La: 0.0000 0.0000 0.0000
Tb: 0.0000 0.5000 0.2551
Tb: 0.0000 0.5000 0.7449
Tb: 0.5000 0.0000 0.2551
Tb: 0.5000 0.0000 0.7449
Tb: 0.5000 0.5000 0.0000
Tb: 0.5000 0.5000 0.5000
Tm: 0.0000 0.0000 0.5000

Volume: 259.20 Å³/f.u.

Computed stability ranking, most favorable first: Q, P

P | Computed, not measured: crystalline LaTb2Tm4 at its relaxed geometry at the PBE level of DFT.

Unit cell a=6.2477 b=8.4329 c=9.1868 alpha=84.48 beta=89.99 gamma=68.36
Positions (direct):
La: 0.0000 0.0000 0.0000
La: 0.4827 0.7142 0.2160
Tb: 0.2862 0.4286 0.4305
Tb: 0.3331 0.0023 0.5017
Tb: 0.6184 0.4311 0.9284
Tb: 0.7191 0.5672 0.5758
Tm: 0.0491 0.5667 0.0702
Tm: 0.1435 0.7134 0.7141
Tm: 0.1939 0.2865 0.7851
Tm: 0.4266 0.1493 0.1429
Tm: 0.5724 0.8590 0.8526
Tm: 0.7623 0.1444 0.6422
Tm: 0.8595 0.2826 0.2897
Tm: 0.9040 0.8585 0.3640

Volume: 223.75 Å³/f.u.

Q | Computed, not measured: crystalline LaTb2Tm4 at its relaxed geometry at the PBE level of DFT.

Unit cell a=6.5165 b=8.5843 c=8.8318 alpha=87.01 beta=82.15 gamma=67.93
Positions (direct):
La: 0.0000 0.0000 0.0000
La: 0.4998 0.2027 0.8390
Tb: 0.3044 0.4133 0.5238
Tb: 0.6020 0.7916 0.0511
Tb: 0.8387 0.5922 0.3720
Tb: 0.9198 0.2035 0.5433
Tm: 0.1968 0.5910 0.0258
Tm: 0.2038 0.2255 0.1969
Tm: 0.2274 0.7990 0.3466
Tm: 0.4781 0.6786 0.6951
Tm: 0.6167 0.9997 0.4014
Tm: 0.6337 0.3622 0.1981
Tm: 0.9103 0.4146 0.8627
Tm: 0.9249 0.7837 0.6948

Volume: 226.78 Å³/f.u.

Computed stability ranking, most favorable first: P, Q

P | Computed, not measured: crystalline LaTbTm6 at its relaxed geometry at the PBE level of DFT.

Unit cell a=6.5925 b=6.5925 c=6.5925 alpha=81.98 beta=81.98 gamma=81.98
Positions (direct):
La: 0.0000 0.0000 0.0000
Tb: 0.5000 0.5000 0.5000
Tm: 0.1557 0.1557 0.5190
Tm: 0.1557 0.5190 0.1557
Tm: 0.4810 0.8443 0.8443
Tm: 0.5190 0.1557 0.1557
Tm: 0.8443 0.4810 0.8443
Tm: 0.8443 0.8443 0.4810

Volume: 278.82 Å³/f.u.

Q | Computed, not measured: crystalline LaTbTm6 at its relaxed geometry at the PBE level of DFT.

Unit cell a=7.0622 b=7.0622 c=4.9879 alpha=90.00 beta=90.00 gamma=90.00
Positions (direct):
La: 0.0000 0.0000 0.0000
Tb: 0.5000 0.5000 0.0000
Tm: 0.0000 0.5000 0.0000
Tm: 0.2530 0.2530 0.5000
Tm: 0.2530 0.7470 0.5000
Tm: 0.5000 0.0000 0.0000
Tm: 0.7470 0.2530 0.5000
Tm: 0.7470 0.7470 0.5000

Volume: 248.77 Å³/f.u.

Computed stability ranking, most favorable first: Q, P

P | Computed, not measured: crystalline LaTbTmZn at its relaxed geometry at the PBE level of DFT.

Unit cell a=3.5870 b=3.5870 c=8.8185 alpha=90.00 beta=90.00 gamma=90.00
Positions (direct):
La: 0.0000 0.0000 0.0000
Tb: 0.5000 0.5000 0.6938
Tm: 0.5000 0.5000 0.2999
Zn: 0.0000 0.0000 0.4899

Volume: 113.47 Å³/f.u.

Q | Computed, not measured: crystalline LaTbTmZn at its relaxed geometry at the PBE level of DFT.

Unit cell a=5.4180 b=5.4180 c=5.4180 alpha=60.00 beta=60.00 gamma=60.00
Positions (direct):
La: 0.0000 0.0000 0.0000
Tb: 0.5000 0.5000 0.5000
Tm: 0.7500 0.7500 0.7500
Zn: 0.2500 0.2500 0.2500

Volume: 112.46 Å³/f.u.

Computed stability ranking, most favorable first: P, Q

P | Computed, not measured: crystalline La7TbY2 at its relaxed geometry at the PBE level of DFT.

Unit cell a=15.1607 b=15.1607 c=3.5233 alpha=90.00 beta=90.00 gamma=154.00
Positions (direct):
La: 0.0000 0.0000 0.0000
La: 0.1599 0.3596 0.0000
La: 0.3084 0.6916 0.5000
La: 0.3596 0.1599 0.0000
La: 0.6404 0.8401 0.0000
La: 0.6916 0.3084 0.5000
La: 0.8401 0.6404 0.0000
Tb: 0.5000 0.5000 0.5000
Y: 0.2044 0.7956 0.0000
Y: 0.7956 0.2044 0.0000

Volume: 355.01 Å³/f.u.

Q | Computed, not measured: crystalline La7TbY2 at its relaxed geometry at the PBE level of DFT.

Unit cell a=10.5553 b=10.5553 c=3.5398 alpha=90.00 beta=90.00 gamma=109.18
Positions (direct):
La: 0.0000 0.0000 0.0000
La: 0.1134 0.3741 0.0000
La: 0.1785 0.8215 0.5000
La: 0.3741 0.1134 0.0000
La: 0.6259 0.8866 0.0000
La: 0.8215 0.1785 0.5000
La: 0.8866 0.6259 0.0000
Tb: 0.5000 0.5000 0.5000
Y: 0.3342 0.6658 0.0000
Y: 0.6658 0.3342 0.0000

Volume: 372.49 Å³/f.u.

Computed stability ranking, most favorable first: P, Q

P | Computed, not measured: crystalline La3Tb8Y2 at its relaxed geometry at the PBE level of DFT.

Unit cell a=10.8675 b=10.8675 c=5.6920 alpha=90.02 beta=90.02 gamma=41.81
Positions (direct):
La: 0.0000 0.0000 0.0000
La: 0.2980 0.7020 0.5000
La: 0.7020 0.2980 0.5000
Tb: 0.1364 0.1364 0.4994
Tb: 0.1829 0.5990 0.0000
Tb: 0.3269 0.3269 0.4995
Tb: 0.4010 0.8171 0.0000
Tb: 0.5990 0.1829 0.0000
Tb: 0.6731 0.6731 0.5005
Tb: 0.8171 0.4010 0.0000
Tb: 0.8636 0.8636 0.5006
Y: 0.2411 0.2411 0.9992
Y: 0.7589 0.7589 0.0008

Volume: 448.20 Å³/f.u.

Q | Computed, not measured: crystalline La3Tb8Y2 at its relaxed geometry at the PBE level of DFT.

Unit cell a=6.2544 b=8.0588 c=9.5337 alpha=65.07 beta=89.98 gamma=82.50
Positions (direct):
La: 0.0000 0.0000 0.0000
La: 0.4599 0.2317 0.8469
La: 0.5401 0.7683 0.1531
Tb: 0.0778 0.5337 0.3106
Tb: 0.1526 0.0768 0.6128
Tb: 0.2286 0.6155 0.9220
Tb: 0.3092 0.1553 0.2341
Tb: 0.6908 0.8447 0.7659
Tb: 0.7714 0.3845 0.0780
Tb: 0.8474 0.9232 0.3872
Tb: 0.9222 0.4663 0.6894
Y: 0.3828 0.6941 0.5387
Y: 0.6172 0.3059 0.4613

Volume: 431.23 Å³/f.u.

Computed stability ranking, most favorable first: Q, P